Material: CsHoCoO3
Method: DFT, GGA+U
State: optimized geometry

Summary:
The calculation puts the calculated total energy at -76.19 eV/cell. The space group is Cmcm (63).

Geometry as extended XYZ:
```
12
Lattice="3.540 0.000 0.000 1.770 6.568 0.000 0.000 0.000 9.072" Properties=species:S:1:pos:R:3 pbc="T T T"
Co 3.540 5.914 2.268
Co 1.770 0.654 6.804
Cs 1.770 2.962 2.268
Cs 3.540 3.606 6.804
Ho 0.000 0.000 0.000
Ho 0.000 0.000 4.536
O 3.540 5.203 0.484
O 3.540 0.401 2.268
O 3.540 5.203 4.052
O 1.770 1.365 5.020
O 1.770 6.167 6.804
O 1.770 1.365 8.588
```